Record 1
A plane-wave DFT calculation with PBE was carried out for Be2TlNi after structural relaxation.

Cell: 4.1340 4.1340 4.1340 Å, 60.00 60.00 60.00°
Atoms (fractional coordinates):
Be 0.2500 0.2500 0.2500
Be 0.7500 0.7500 0.7500
Tl 0.5000 0.5000 0.5000
Ni 0.0000 0.0000 0.0000

Summary:
**Calculated total energy**: -0.12913 Ha/atom
**Relative energy among the computed polymorphs**: 231.4 meV per atom
**Energy of formation from the pure elements**: 0.39 eV per atom


Record 2
A plane-wave DFT calculation with PBE was carried out for PmNdHo3Er after structural relaxation.

Cell: 5.8858 6.3194 11.7845 Å, 90.00 90.00 117.76°
Atoms (fractional coordinates):
Ho 0.6722 0.3444 0.5014
Ho 0.1730 0.3460 0.7500
Ho 0.3278 0.6556 0.0014
Ho 0.3278 0.6556 0.4986
Ho 0.8270 0.6540 0.2500
Ho 0.6722 0.3444 0.9986
Pm 0.5016 0.0033 0.2500
Pm 0.4984 0.9967 0.7500
Er 0.1715 0.3430 0.2500
Er 0.8285 0.6570 0.7500
Nd 0.0000 0.0000 0.5000
Nd 0.0000 0.0000 0.0000

Summary:
**Calculated total energy**: -0.16610 Ha/atom
**Energy of formation from the pure elements**: 0.12 eV per atom


Record 3
A plane-wave DFT calculation with PBE was carried out for NaSiAs after structural relaxation.

Cell: 3.6984 16.3961 4.4020 Å, 90.00 90.00 90.00°
Atoms (fractional coordinates):
Si 0.5000 0.0363 0.7500
Si 0.0000 0.5363 0.7500
Si 0.0000 0.4637 0.2500
Si 0.5000 0.9637 0.2500
As 0.0000 0.1291 0.7500
As 0.5000 0.6291 0.7500
As 0.0000 0.8709 0.2500
As 0.5000 0.3709 0.2500
Na 0.5000 0.8201 0.7500
Na 0.0000 0.3201 0.7500
Na 0.0000 0.6799 0.2500
Na 0.5000 0.1799 0.2500

Summary:
**Raw formation energy**: -24.4 kJ per mole of atoms
**Calculated total energy**: -0.14883 Ha/atom